# RbVS2O8, optimized geometry, DFT GGA+U
# **Crystal system**: trigonal
# **Total magnetization**: 2.00 μB/f.u.
# **Density**: 3.05 g cm⁻³
# **Calculated volume**: 14.91 Å³/atom
# **Final energy**: -6.410 eV per atom
data_RbVS2O8
_chemical_formula_sum 'Rb1 V1 S2 O8'
_symmetry_space_group_name_H-M 'P 1'
_symmetry_Int_Tables_number 1
_cell_length_a 8.983
_cell_length_b 8.983
_cell_length_c 8.983
_cell_angle_alpha 31.82
_cell_angle_beta 31.82
_cell_angle_gamma 31.82
loop_
_symmetry_equiv_pos_as_xyz
'x,y,z'
loop_
_atom_site_label
_atom_site_type_symbol
_atom_site_fract_x
_atom_site_fract_y
_atom_site_fract_z
Rb1 Rb 0.000 0.000 0.000
V1 V 0.500 0.500 0.500
S1 S 0.234 0.234 0.234
S2 S 0.766 0.766 0.766
O1 O 0.090 0.521 0.748
O2 O 0.252 0.910 0.479
O3 O 0.291 0.291 0.291
O4 O 0.479 0.252 0.910
O5 O 0.521 0.748 0.090
O6 O 0.709 0.709 0.709
O7 O 0.748 0.090 0.521
O8 O 0.910 0.479 0.252